(1)
Here is a relaxed LiPm3Cu2 crystal from Alexandria via LeMat-Bulk. Energies are from PBE.

## Properties
The magnetic moment comes out at 0.0 μB per formula unit. The symmetry is Cmmm. The value obtained for the formation energy is -0.07 eV/atom.

abc: 3.6303 5.0937 8.0845
angles: 108.36 90.00 90.00
Closest atoms and distances in Å follow each position.
Atoms (fractional coordinates):
Li1 0.0000 0.0000 0.0000  8 Pm 3.13-3.25, 4 Cu 3.50
Pm1 0.5000 0.5000 0.0000  4 Cu 3.01, 4 Li 3.13
Pm2 0.5000 0.8243 0.6486  6 Cu 3.14-3.16, 2 Li 3.25, 2 Pm 3.42
Pm3 0.5000 0.1757 0.3514  6 Cu 3.14-3.16, 2 Li 3.25, 2 Pm 3.42
Cu1 0.0000 0.3439 0.6878  8 Pm 3.01-3.16
Cu2 0.0000 0.6561 0.3122  8 Pm 3.01-3.16



(2)
Here is a relaxed RbMg2ScI crystal from Alexandria via LeMat-Bulk. Energies are from PBE.

## Properties
The magnetic moment comes out at 1.6 μB per formula unit. The symmetry is P4/mmm. Its relative energy among the computed polymorphs is 746 meV/atom.

abc: 6.5276 6.3999 6.5276
angles: 90.00 90.00 90.00
Closest atoms and distances in Å follow each position.
Atoms (fractional coordinates):
I1 0.0000 0.5000 0.0000  2 Rb 3.20
Sc1 0.5000 0.5000 0.5000  8 Mg 4.57, 4 I 4.62
Mg1 0.0000 0.0000 0.5000  2 Rb 3.26
Mg2 0.5000 0.0000 0.0000  2 Rb 3.26
Rb1 0.0000 0.0000 0.0000  2 I 3.20, 4 Mg 3.26



(3)
Here is a relaxed Pm4HfZn5 crystal from Alexandria via LeMat-Bulk. Energies are from PBE.

## Properties
The magnetic moment comes out at 0.0 μB per formula unit. The symmetry is P4/mmm. The value obtained for the formation energy is -0.26 eV/atom.

abc: 3.5663 3.5663 18.1017
angles: 90.00 90.00 90.00
Closest atoms and distances in Å follow each position.
Atoms (fractional coordinates):
Pm1 0.0000 0.0000 0.1871  8 Zn 3.17-3.19, 1 Hf 3.39
Pm2 0.0000 0.0000 0.3955  8 Zn 3.13-3.15
Pm3 0.0000 0.0000 0.6045  8 Zn 3.13-3.15
Pm4 0.0000 0.0000 0.8129  8 Zn 3.17-3.19, 1 Hf 3.39
Hf1 0.0000 0.0000 0.0000  8 Zn 2.90
Zn1 0.5000 0.5000 0.0790  1 Zn 2.86, 4 Hf 2.90, 4 Pm 3.19
Zn2 0.5000 0.5000 0.2928  8 Pm 3.13-3.17
Zn3 0.5000 0.5000 0.5000  8 Pm 3.15
Zn4 0.5000 0.5000 0.7072  8 Pm 3.13-3.17
Zn5 0.5000 0.5000 0.9210  1 Zn 2.86, 4 Hf 2.90, 4 Pm 3.19



(4)
Here is a relaxed Pr2NdSi2 crystal from Alexandria via LeMat-Bulk. Energies are from PBE.

## Properties
The magnetic moment comes out at 0.0 μB per formula unit. The symmetry is P4/mbm. Its relative energy among the computed polymorphs is 0 meV/atom.

abc: 4.3875 7.8126 7.8126
angles: 90.00 90.00 90.00
Closest atoms and distances in Å follow each position.
Atoms (fractional coordinates):
Pr1 0.5000 0.1770 0.6770  6 Si 3.18-3.21
Pr2 0.5000 0.6770 0.8230  6 Si 3.18-3.21
Pr3 0.5000 0.8230 0.3230  6 Si 3.18-3.21
Pr4 0.5000 0.3230 0.1770  6 Si 3.18-3.21
Nd1 0.0000 0.0000 0.0000  4 Si 3.16
Nd2 0.0000 0.5000 0.5000  4 Si 3.16
Si1 0.0000 0.3894 0.8894  1 Si 2.44
Si2 0.0000 0.8894 0.6106  1 Si 2.44
Si3 0.0000 0.6106 0.1106  1 Si 2.44
Si4 0.0000 0.1106 0.3894  1 Si 2.44



(5)
Here is a relaxed SrBe2As crystal from Alexandria via LeMat-Bulk. Energies are from PBE.

## Properties
The magnetic moment comes out at 0.0 μB per formula unit. The symmetry is Pmmm. The value obtained for the formation energy is -0.14 eV/atom.

abc: 3.8816 4.7103 4.5074
angles: 90.00 90.00 90.00
Closest atoms and distances in Å follow each position.
Atoms (fractional coordinates):
Sr1 0.5000 0.2500 0.2500  8 Be 3.23, 4 As 3.26
As1 0.5000 0.7500 0.7500  4 Be 2.28
Be1 0.0000 0.7500 0.0155  1 Be 2.11, 2 As 2.28
Be2 0.0000 0.7500 0.4845  1 Be 2.11, 2 As 2.28



(6)
Here is a relaxed CsPmP2S8 crystal from Alexandria via LeMat-Bulk. Energies are from PBE.

## Properties
The magnetic moment comes out at 2.0 μB per formula unit. The symmetry is P-3.

abc: 6.2844 6.2844 9.9697
angles: 90.00 90.00 120.00
Closest atoms and distances in Å follow each position.
Atoms (fractional coordinates):
Cs1 0.0000 0.0000 0.0000  12 S 3.70-4.08
Pm1 0.0000 0.0000 0.5000  6 S 2.86
P1 0.6667 0.3333 0.2770  4 S 2.03-2.05
P2 0.3333 0.6667 0.7230  4 S 2.03-2.05
S1 0.3333 0.6667 0.9264  1 P 2.03
S2 0.3739 0.3708 0.3350  1 P 2.05
S3 0.6292 0.0031 0.3350  1 P 2.05
S4 0.6667 0.3333 0.0736  1 P 2.03
S5 0.3708 0.9969 0.6650  1 P 2.05
S6 0.6261 0.6292 0.6650  1 P 2.05
S7 0.0031 0.3739 0.6650  1 P 2.05
S8 0.9969 0.6261 0.3350  1 P 2.05



(7)
Here is a relaxed DyY2Er6 crystal from Alexandria via LeMat-Bulk. Energies are from PBE.

## Properties
The magnetic moment comes out at 0.0 μB per formula unit. The symmetry is P-1. The value obtained for the formation energy is 0.02 eV/atom.

abc: 3.5280 8.6247 12.7012
angles: 132.78 82.02 90.06
Closest atoms and distances in Å follow each position.
Atoms (fractional coordinates):
Dy1 0.0000 0.0000 0.0000  6 Er 3.52-3.53, 2 Dy 3.53, 4 Y 3.53
Y1 0.4436 0.7780 0.1119  3 Y 3.52-3.53, 7 Er 3.52-3.55, 2 Dy 3.53
Y2 0.5564 0.2220 0.8881  3 Y 3.52-3.53, 7 Er 3.52-3.55, 2 Dy 3.53
Er1 0.8880 0.5560 0.2244  7 Er 3.49-3.53, 1 Dy 3.52, 4 Y 3.53-3.55
Er2 0.1120 0.4440 0.7756  7 Er 3.49-3.53, 1 Dy 3.52, 4 Y 3.53-3.55
Er3 0.6670 0.6661 0.6658  9 Er 3.51-3.53, 1 Y 3.52, 2 Dy 3.53
Er4 0.7768 0.1123 0.4459  10 Er 3.49-3.53, 2 Y 3.53
Er5 0.2232 0.8877 0.5541  10 Er 3.49-3.53, 2 Y 3.53
Er6 0.3330 0.3339 0.3342  9 Er 3.51-3.53, 1 Y 3.52, 2 Dy 3.53



(8)
Here is a relaxed AsIrSe crystal from Alexandria via LeMat-Bulk. Energies are from PBE.

## Properties
The magnetic moment comes out at 0.0 μB per formula unit. The symmetry is I4mm.

abc: 7.1038 7.1038 7.1038
angles: 155.89 155.89 34.36
Closest atoms and distances in Å follow each position.
Atoms (fractional coordinates):
As1 0.9549 0.9549 0.0000  4 Ir 2.58
Ir1 0.3440 0.3440 0.0000  4 As 2.58, 4 Se 2.86
Se1 0.7011 0.7011 0.0000  4 Ir 2.86, 4 Se 2.97



Number 1: mass density 6.7 Mg/m³, uncorrected energy -4.132 eV per atom, calculated volume 141.88 Å³/cell. Number 2: mass density 1.9 Mg/m³, uncorrected energy -1.569 eV per atom, calculated volume 272.70 Å³/cell. Number 3: mass density 7.8 Mg/m³, uncorrected energy -3.793 eV per atom, calculated volume 230.22 Å³/cell. Number 4: mass density 6.0 Mg/m³, uncorrected energy -5.659 eV per atom, calculated volume 267.80 Å³/cell. Number 5: mass density 3.6 Mg/m³, uncorrected energy -3.587 eV per atom, calculated volume 82.41 Å³/cell. Number 6: mass density 2.9 Mg/m³, uncorrected energy -4.721 eV per atom, calculated volume 340.99 Å³/cell. Number 7: mass density 8.0 Mg/m³, uncorrected energy -4.966 eV per atom, calculated volume 278.59 Å³/cell. Number 8: mass density 9.6 Mg/m³, uncorrected energy -5.489 eV per atom, calculated volume 59.77 Å³/cell.